Material: Al2PtPb
Method: DFT, GGA-PBEsol
State: optimized geometry

Summary:
- Space group: Imm2, No. 44
- Calculated density: 9.41 Mg/m³
- Raw total energy: -5.0622 eV/atom

Cell lengths 3.146, 4.059, 6.809 Å; angles 107.34, 103.36, 90.00 degrees
Sites, in units of the cell vectors:
Pb  0.556  0.556  0.111
Al  0.753  0.253  0.505
Al  0.923  0.923  0.847
Pt  0.268  0.768  0.537